Pu3SbPt: relaxed, PBE-GGA.

Results
E_form (uncorrected): -0.4445 eV/atom
D(E_F): 24.6 states/eV/f.u.

Cell: 5.5241 7.4863 7.4863 Å, 120.00 90.00 90.00°
Sites, in units of the cell vectors:
Pu 0.2500 0.8069 0.6140
Pu 0.2500 0.8069 0.1931
Pu 0.7500 0.1931 0.8069
Pu 0.7500 0.1931 0.3860
Pu 0.7500 0.6140 0.8069
Pu 0.2500 0.3860 0.1931
Pt 0.0000 0.0000 0.0000
Pt 0.5000 0.0000 0.0000
Sb 0.2500 0.3335 0.6665
Sb 0.7500 0.6665 0.3335

---

SrLaGa: relaxed, PBE-GGA.

Results
E_form: -16.9 kJ per mole of atoms
D(E_F): 3.5 states/eV/f.u.

Cell: 3.9885 5.4060 9.8395 Å, 105.94 78.31 90.00°
Sites, in units of the cell vectors:
La 0.9613 0.1638 0.7293
La 0.5517 0.5740 0.5495
Ga 0.1853 0.4395 0.2801
Ga 0.7835 0.3412 0.0837
Sr 0.3439 0.7804 0.9621
Sr 0.6696 0.9544 0.3100

---

Hf2Se3S3: relaxed, PBE-GGA.

Results
E_form (uncorrected): -1.0839 eV/atom

Cell: 3.6907 5.3512 10.0394 Å, 83.09 90.00 90.00°
Sites, in units of the cell vectors:
Se 0.0000 0.5266 0.1779
Se 0.5000 0.7616 0.4498
Se 0.0000 0.2406 0.5535
Hf 0.5000 0.2831 0.3514
Hf 0.0000 0.7182 0.6514
S 0.5000 0.4884 0.8030
S 0.0000 0.1023 0.2098
S 0.5000 0.8793 0.8032

---

BaSbPPt2: relaxed, PBE-GGA.

Results
E_form (uncorrected): -0.2951 eV/atom
D(E_F): 4.3 states/eV/f.u.

Cell: 4.7068 5.5158 4.7068 Å, 90.00 90.00 90.00°
Sites, in units of the cell vectors:
Pt 0.5000 0.0000 0.0000
Pt 0.0000 0.0000 0.5000
P 0.0000 0.0000 0.0000
Sb 0.0000 0.5000 0.0000
Ba 0.5000 0.5000 0.5000

---

La2Pr6Nd3: relaxed, PBE-GGA.

Results
E_form: 40.1 kJ per mole of atoms
D(E_F): 15.7 states/eV/f.u.

Cell: 5.8302 5.8302 13.2590 Å, 102.70 102.70 90.00°
Sites, in units of the cell vectors:
La 0.5591 0.5591 0.1181
La 0.4409 0.4409 0.8819
Pr 0.2997 0.2997 0.5995
Pr 0.9025 0.4025 0.8051
Pr 0.4025 0.9025 0.8051
Pr 0.7003 0.7003 0.4005
Pr 0.5975 0.0975 0.1949
Pr 0.0975 0.5975 0.1949
Nd 0.8380 0.8380 0.6759
Nd 0.1620 0.1620 0.3241
Nd 0.0000 0.0000 0.0000

---

BaCaHg2Pt: relaxed, PBE-GGA.

Results
E_form: -20.6 kJ per mole of atoms
D(E_F): 2.8 states/eV/f.u.

Cell: 5.4501 5.7507 5.4501 Å, 90.00 90.00 90.00°
Sites, in units of the cell vectors:
Hg 0.0000 0.0000 0.5000
Hg 0.5000 0.0000 0.0000
Ca 0.5000 0.5000 0.5000
Ba 0.0000 0.5000 0.0000
Pt 0.0000 0.0000 0.0000

---

Calculated ρ in order - 13.0 4.9 5.8 9.2 6.0 7.5 Mg/m³